[1]
The following is a DFT calculation (GGA-PBE) of crystalline Li2Np3TlS6 at its relaxed geometry.

Cell lengths 4.005, 8.370, 9.170 Å; angles 104.74, 102.61, 90.00 degrees
Each line ends with the local moment (μB).
Element x y z (fractional)
Li 0.818 0.608 0.637  0.00
Li 0.182 0.392 0.363  0.00
Tl 0.500 0.000 0.000  0.00
Np 0.171 0.825 0.342  -3.82
Np 0.500 0.500 0.000  3.75
Np 0.829 0.175 0.658  -3.82
S 0.990 0.278 0.980  -0.04
S 0.669 0.582 0.337  0.03
S 0.675 0.052 0.350  0.09
S 0.331 0.418 0.663  0.03
S 0.325 0.948 0.650  0.09
S 0.010 0.722 0.020  -0.04

Properties
* E: -6.986 eV/atom
* E_form (uncorrected): -1.171 eV/atom
* space group: No. 12
* theoretical density: 6.4 g/cm³

=====

[2]
The following is a DFT calculation (GGA-PBE) of crystalline NaZr2NbPb at its relaxed geometry.

Cell lengths 5.016, 4.757, 5.016 Å; angles 90.00, 90.00, 90.00 degrees
Element x y z (fractional)
Nb 0.000 0.500 0.000
Pb 0.500 0.500 0.500
Na 0.000 0.000 0.000
Zr 0.500 0.000 0.000
Zr 0.000 0.000 0.500

Properties
* E: -5.044 eV/atom
* energy relative to the elements: 1.3942 eV/atom
* space group: No. 123
* theoretical density: 7.0 g/cm³

=====

[3]
The following is a DFT calculation (GGA-PBE) of crystalline YEr6Fe2 at its relaxed geometry.

Cell lengths 8.452, 8.452, 8.452 Å; angles 107.99, 111.57, 108.88 degrees
Each line ends with the local moment (μB).
Element x y z (fractional)
Fe 0.307 0.307 0.000  -0.30
Fe 0.500 0.891 0.391  1.21
Fe 0.693 0.693 0.000  -0.30
Fe 0.500 0.109 0.609  1.21
Er 0.471 0.187 0.284  -0.09
Er 0.317 0.322 0.639  -0.05
Er 0.683 0.322 0.004  -0.05
Er 0.218 0.976 0.758  -0.04
Er 0.218 0.460 0.242  -0.04
Er 0.096 0.813 0.284  -0.09
Er 0.317 0.678 0.996  -0.05
Er 0.683 0.678 0.361  -0.05
Er 0.529 0.813 0.716  -0.09
Er 0.904 0.187 0.716  -0.09
Er 0.782 0.024 0.242  -0.04
Er 0.782 0.540 0.758  -0.04
Y 0.000 0.500 0.500  -0.07
Y 0.000 0.000 0.000  0.08

Properties
* E: -5.609 eV/atom
* energy relative to the elements: 0.0321 eV/atom
* space group: No. 71
* theoretical density: 8.6 g/cm³

=====

[4]
The following is a DFT calculation (GGA-PBE) of crystalline CdBi3Pb3 at its relaxed geometry.

Cell lengths 8.791, 8.791, 8.791 Å; angles 90.00, 90.00, 90.00 degrees
Element x y z (fractional)
Bi 0.000 0.500 0.750
Bi 0.500 0.750 0.000
Bi 0.250 0.000 0.500
Bi 0.750 0.000 0.500
Bi 0.500 0.250 0.000
Bi 0.000 0.500 0.250
Pb 0.000 0.250 0.500
Pb 0.000 0.750 0.500
Pb 0.500 0.000 0.250
Pb 0.250 0.500 0.000
Pb 0.500 0.000 0.750
Pb 0.750 0.500 0.000
Cd 0.000 0.000 0.000
Cd 0.500 0.500 0.500

Properties
* E: -3.062 eV/atom
* relative energy among the computed polymorphs: 0.261 eV per atom
* energy relative to the elements: 0.3210 eV/atom
* space group: No. 223
* theoretical density: 6.7 g/cm³

=====

[5]
The following is a DFT calculation (GGA-PBE) of crystalline ZnMoRh2 at its relaxed geometry.

Cell lengths 4.536, 4.536, 2.852 Å; angles 90.00, 90.00, 90.00 degrees
Element x y z (fractional)
Rh 0.500 0.500 0.000
Rh 0.000 0.000 0.000
Zn 0.500 0.000 0.500
Mo 0.000 0.500 0.500

Properties
* E: -6.775 eV/atom
* energy relative to the elements: -0.0726 eV/atom
* space group: No. 123
* theoretical density: 10.4 g/cm³

=====

[6]
The following is a DFT calculation (GGA-PBE) of crystalline SmDySnAu at its relaxed geometry.

Cell lengths 5.271, 5.271, 5.271 Å; angles 60.00, 60.00, 60.00 degrees
Each line ends with the local moment (μB).
Element x y z (fractional)
Au 0.750 0.750 0.750  0.04
Sn 0.250 0.250 0.250  -0.02
Sm 0.500 0.500 0.500  0.18
Dy 0.000 0.000 0.000  0.24

Properties
* E: -4.864 eV/atom
* energy relative to the elements: -0.7140 eV/atom
* space group: No. 216
* theoretical density: 10.1 g/cm³

=====

[7]
The following is a DFT calculation (GGA-PBE) of crystalline SrIn2Fe at its relaxed geometry.

Cell lengths 3.688, 3.688, 7.669 Å; angles 90.00, 90.00, 90.00 degrees
Each line ends with the local moment (μB).
Element x y z (fractional)
In 0.500 0.500 0.201  0.00
In 0.000 0.000 0.940  -0.07
Sr 0.000 0.000 0.517  -0.03
Fe 0.500 0.500 0.841  2.49

Properties
* E: -3.720 eV/atom
* energy relative to the elements: 0.1852 eV/atom
* space group: No. 99
* theoretical density: 5.9 g/cm³

=====

[8]
The following is a DFT calculation (GGA-PBE) of crystalline Ce4BiPb5 at its relaxed geometry.

Cell lengths 4.603, 12.355, 11.219 Å; angles 90.00, 90.00, 90.00 degrees
Each line ends with the local moment (μB).
Element x y z (fractional)
Ce 0.250 0.752 0.500  0.55
Ce 0.750 0.252 0.000  0.55
Ce 0.750 0.748 0.000  0.55
Ce 0.250 0.248 0.500  0.55
Ce 0.750 0.000 0.295  0.59
Ce 0.250 0.500 0.205  0.59
Ce 0.750 0.000 0.705  0.59
Ce 0.250 0.500 0.795  0.59
Bi 0.750 0.000 0.000  -0.02
Bi 0.250 0.500 0.500  -0.02
Pb 0.750 0.325 0.311  -0.01
Pb 0.749 0.500 0.000  -0.01
Pb 0.750 0.325 0.689  -0.01
Pb 0.251 0.000 0.500  -0.01
Pb 0.250 0.825 0.811  -0.01
Pb 0.250 0.175 0.811  -0.01
Pb 0.250 0.825 0.189  -0.01
Pb 0.750 0.675 0.689  -0.01
Pb 0.250 0.175 0.189  -0.01
Pb 0.750 0.675 0.311  -0.01

Properties
* E: -4.977 eV/atom
* relative energy among the computed polymorphs: 0.019 eV per atom
* energy relative to the elements: -0.3614 eV/atom
* space group: No. 71
* theoretical density: 9.4 g/cm³

=====

[9]
The following is a DFT calculation (GGA-PBE) of crystalline Pa3Al9Cu2 at its relaxed geometry.

Cell lengths 4.287, 8.105, 8.105 Å; angles 76.51, 74.67, 74.67 degrees
Element x y z (fractional)
Cu 0.500 0.700 0.300
Cu 0.500 0.300 0.700
Pa 0.000 0.000 0.000
Pa 0.695 0.305 0.305
Pa 0.305 0.695 0.695
Al 0.129 0.591 0.150
Al 0.654 0.978 0.714
Al 0.129 0.150 0.591
Al 0.654 0.714 0.978
Al 0.000 0.500 0.500
Al 0.871 0.409 0.850
Al 0.346 0.286 0.022
Al 0.346 0.022 0.286
Al 0.871 0.850 0.409

Properties
* E: -5.256 eV/atom
* energy relative to the elements: -0.2296 eV/atom
* space group: No. 71
* theoretical density: 6.8 g/cm³

=====

[10]
The following is a DFT calculation (GGA-PBE) of crystalline Li3HgO at its relaxed geometry.

Cell lengths 4.817, 4.817, 4.817 Å; angles 90.00, 90.00, 90.00 degrees
Element x y z (fractional)
Li 0.500 0.000 0.000
Li 0.000 0.000 0.500
Li 0.000 0.500 0.000
O 0.500 0.500 0.500
Hg 0.000 0.000 0.000

Properties
* E: -1.936 eV/atom
* relative energy among the computed polymorphs: 1.423 eV per atom
* E_form (uncorrected): 0.264 eV/atom
* space group: No. 221
* theoretical density: 3.5 g/cm³

=====

[11]
The following is a DFT calculation (GGA-PBE) of crystalline Pm5Cu2Sb at its relaxed geometry.

Cell lengths 8.149, 8.149, 8.734 Å; angles 117.81, 117.81, 90.00 degrees
Element x y z (fractional)
Pm 0.012 0.512 0.715
Pm 0.988 0.488 0.285
Pm 0.500 0.500 0.000
Pm 0.797 0.988 0.285
Pm 0.488 0.297 0.285
Pm 0.000 0.000 0.000
Pm 0.703 0.203 0.715
Pm 0.297 0.797 0.285
Pm 0.203 0.012 0.715
Pm 0.512 0.703 0.715
Cu 0.631 0.131 0.000
Cu 0.869 0.631 0.000
Cu 0.369 0.869 0.000
Cu 0.131 0.369 0.000
Sb 0.250 0.250 0.500
Sb 0.750 0.750 0.500

Properties
* E: -4.897 eV/atom
* E_form (uncorrected): -0.388 eV/atom
* space group: No. 140
* theoretical density: 7.4 g/cm³

=====

[12]
The following is a DFT calculation (GGA-PBE) of crystalline CaPm3In3 at its relaxed geometry.

Cell lengths 7.673, 7.673, 7.416 Å; angles 90.00, 90.00, 90.49 degrees
Each line ends with the local moment (μB).
Element x y z (fractional)
In 0.000 0.500 0.751  0.00
In 0.000 0.000 0.268  0.00
In 0.000 0.500 0.249  0.00
In 0.500 0.000 0.751  0.00
In 0.000 0.000 0.732  0.00
In 0.500 0.000 0.249  0.00
Ca 0.280 0.280 0.000  0.00
Ca 0.720 0.720 0.000  0.00
Pm 0.742 0.742 0.500  0.09
Pm 0.768 0.232 0.000  0.01
Pm 0.271 0.729 0.500  0.10
Pm 0.258 0.258 0.500  0.09
Pm 0.729 0.271 0.500  0.10
Pm 0.232 0.768 0.000  0.01

Properties
* E: -3.840 eV/atom
* energy relative to the elements: -0.3442 eV/atom
* space group: No. 65
* theoretical density: 6.2 g/cm³

=====

[13]
The following is a DFT calculation (GGA-PBE) of crystalline La2Pm4Er at its relaxed geometry.

Cell lengths 6.885, 9.171, 9.171 Å; angles 78.90, 67.95, 67.95 degrees
Element x y z (fractional)
La 0.500 0.000 0.000
La 0.722 0.028 0.528
La 0.278 0.972 0.472
La 0.500 0.500 0.500
Pm 0.858 0.632 0.652
Pm 0.233 0.241 0.741
Pm 0.214 0.759 0.259
Pm 0.858 0.152 0.132
Pm 0.142 0.368 0.348
Pm 0.786 0.241 0.741
Pm 0.767 0.759 0.259
Pm 0.142 0.848 0.868
Er 0.500 0.500 0.000
Er 0.000 0.500 0.000

Properties
* E: -4.563 eV/atom
* relative energy among the computed polymorphs: 0.000 eV per atom
* energy relative to the elements: 0.2110 eV/atom
* space group: No. 74
* theoretical density: 6.9 g/cm³